Compound: TiCdWO6
Source: Alexandria via LeMat-Bulk
Functional: GGA+U
Structure: optimized geometry

Structure (CIF):
```
data_TiCdWO6
_cell_length_a 4.853
_cell_length_b 4.853
_cell_length_c 9.363
_cell_angle_alpha 90.00
_cell_angle_beta 90.00
_cell_angle_gamma 90.00
_symmetry_space_group_name_H-M 'P 1'
_symmetry_Int_Tables_number 1
_symmetry_space_group_name_Hall 'P 1'
loop_
_atom_site_label
_atom_site_fract_x
_atom_site_fract_y
_atom_site_fract_z
Ti1 0.000 0.000 0.000
Ti2 0.500 0.500 0.500
Cd1 0.000 0.000 0.670
Cd2 0.500 0.500 0.170
W1 0.000 0.000 0.337
W2 0.500 0.500 0.837
O1 0.175 0.175 0.170
O2 0.215 0.215 0.473
O3 0.218 0.218 0.858
O4 0.282 0.718 0.358
O5 0.285 0.715 0.973
O6 0.325 0.675 0.670
O7 0.675 0.325 0.670
O8 0.715 0.285 0.973
O9 0.718 0.282 0.358
O10 0.782 0.782 0.858
O11 0.785 0.785 0.473
O12 0.825 0.825 0.170
```

Results
Total energy (eV/atom): -7.1964
Space-group type: No. 102
V (Å³/atom): 12.2